Entry from the Alexandria database: a geometry-optimized YPaBr6 structure (PBE).

It has space group C2/m (No. 12), with a = 7.036 Å, b = 13.557 Å, c = 7.036 Å, α = 90.00°, β = 109.14° and γ = 90.00°. The inequivalent atoms are Y at (0.000, 0.000, 0.000), Pa at (0.000, 0.500, 0.500), Br at (0.245, 0.148, 0.245) and Br at (0.249, 0.000, 0.751).

The value obtained for the final energy is -4.79 eV/atom.

=====

Entry from the Alexandria database: a geometry-optimized YPaBr2 structure (PBE).

It has space group R-3m (No. 166, hexagonal axes), with a = 3.4722 Å, b = 3.4722 Å, c = 30.7643 Å, α = 90.00°, β = 90.00° and γ = 120.00°. The inequivalent atoms are Y at (0.0000, 0.0000, 0.0000), Pa at (0.0000, 0.0000, 0.5000) and Br at (0.0000, 0.0000, 0.4025).

The value obtained for the final energy is -5.52 eV/atom.

=====

Entry from the Alexandria database: a geometry-optimized Pa2ZnBr8 structure (PBE).

It has space group C2/m (No. 12), with a = 9.337 Å, b = 12.772 Å, c = 10.290 Å, α = 90.00°, β = 105.10° and γ = 90.00°. The inequivalent atoms are Pa at (0.074, 0.000, 0.316), Zn at (0.000, 0.000, 0.000), Br at (0.002, 0.196, 0.227), Br at (0.158, 0.500, 0.733) and Br at (0.204, 0.000, 0.598).

The value obtained for the final energy is -4.20 eV/atom.

=====

Entry from the Alexandria database: a geometry-optimized PaZnBr6 structure (PBE).

It has space group C2/m (No. 12), with a = 6.833 Å, b = 13.379 Å, c = 6.828 Å, α = 90.00°, β = 109.51° and γ = 90.00°. The inequivalent atoms are Pa at (0.000, 0.000, 0.000), Zn at (0.000, 0.500, 0.500), Br at (0.228, 0.359, 0.731) and Br at (0.246, 0.000, 0.751).

The value obtained for the final energy is -3.76 eV/atom.

=====

Entry from the Alexandria database: a geometry-optimized PaZn2Br8 structure (PBE).

It has space group C2/m (No. 12), with a = 8.150 Å, b = 11.970 Å, c = 10.367 Å, α = 90.00°, β = 106.61° and γ = 90.00°. The inequivalent atoms are Pa at (0.000, 0.000, 0.000), Zn at (0.025, 0.000, 0.658), Br at (0.051, 0.162, 0.808), Br at (0.160, 0.500, 0.870) and Br at (0.237, 0.000, 0.532).

The value obtained for the final energy is -3.44 eV/atom.

=====

Entry from the Alexandria database: a geometry-optimized ZrPaBr structure (PBE).

It has space group Cm (No. 8), with a = 5.878 Å, b = 3.371 Å, c = 15.951 Å, α = 90.00°, β = 97.05° and γ = 90.00°. The inequivalent atoms are Zr at (0.000, 0.000, 0.000), Zr at (0.107, 0.500, 0.844), Pa at (0.114, 0.500, 0.166), Pa at (0.147, 0.000, 0.336), Br at (0.235, 0.000, 0.721) and Br at (0.364, 0.500, 0.477).

The value obtained for the final energy is -7.07 eV/atom.

=====

Entry from the Alexandria database: a geometry-optimized ZrPaBr structure (PBE).

It has space group C2/m (No. 12), with a = 6.020 Å, b = 3.352 Å, c = 15.645 Å, α = 90.00°, β = 94.06° and γ = 90.00°. The inequivalent atoms are Zr at (0.008, 0.000, 0.246), Pa at (0.133, 0.500, 0.076) and Br at (0.201, 0.500, 0.371).

The value obtained for the final energy is -7.13 eV/atom.

=====

Entry from the Alexandria database: a geometry-optimized ZrPa2Br8 structure (PBE).

It has space group C2/m (No. 12), with a = 11.652 Å, b = 11.552 Å, c = 6.895 Å, α = 90.00°, β = 104.28° and γ = 90.00°. The inequivalent atoms are Zr at (0.000, 0.000, 0.000), Pa at (0.112, 0.000, 0.557), Br at (0.040, 0.188, 0.772), Br at (0.157, 0.500, 0.238) and Br at (0.225, 0.000, 0.218).

The value obtained for the final energy is -4.92 eV/atom.

=====

Entry from the Alexandria database: a geometry-optimized Pb7Br structure (PBE).

It has space group Fm-3m (No. 225), with a = 10.012 Å, b = 10.012 Å, c = 10.012 Å, α = 90.00°, β = 90.00° and γ = 90.00°. The inequivalent atoms are Pb at (0.000, 0.000, 0.000), Pb at (0.000, 0.250, 0.250) and Br at (0.000, 0.000, 0.500).

The value obtained for the final energy is -3.48 eV/atom.

=====

Entry from the Alexandria database: a geometry-optimized PbBr3 structure (PBE).

It has space group Cmcm (No. 63), with a = 11.515 Å, b = 14.201 Å, c = 3.740 Å, α = 90.00°, β = 90.00° and γ = 90.00°. The inequivalent atoms are Pb at (0.000, 0.218, 0.250), Br at (0.000, 0.377, 0.750) and Br at (0.166, 0.135, 0.750).

The value obtained for the final energy is -2.70 eV/atom.

=====

Entry from the Alexandria database: a geometry-optimized PbBr3 structure (PBE).

It has space group Fm-3m (No. 225), with a = 7.721 Å, b = 7.721 Å, c = 7.721 Å, α = 90.00°, β = 90.00° and γ = 90.00°. The inequivalent atoms are Pb at (0.000, 0.000, 0.000), Br at (0.000, 0.000, 0.500) and Br at (0.250, 0.250, 0.250).

The value obtained for the final energy is -2.48 eV/atom.

=====

Entry from the Alexandria database: a geometry-optimized PbBr7 structure (PBE).

It has space group Fm-3m (No. 225), with a = 9.608 Å, b = 9.608 Å, c = 9.608 Å, α = 90.00°, β = 90.00° and γ = 90.00°. The inequivalent atoms are Pb at (0.000, 0.000, 0.000), Br at (0.000, 0.000, 0.500) and Br at (0.000, 0.250, 0.250).

The value obtained for the final energy is -1.71 eV/atom.

=====

Entry from the Alexandria database: a geometry-optimized PbBr3 structure (PBE).

It has space group Pm-3m (No. 221), with a = 4.873 Å, b = 4.873 Å, c = 4.873 Å, α = 90.00°, β = 90.00° and γ = 90.00°. The inequivalent atoms are Pb at (0.000, 0.000, 0.000) and Br at (0.000, 0.500, 0.500).

The value obtained for the final energy is -2.43 eV/atom.

=====

Entry from the Alexandria database: a geometry-optimized Pb3Br4 structure (PBE).

It has space group P6/mmm (No. 191), with a = 6.6793 Å, b = 6.6793 Å, c = 5.6513 Å, α = 90.00°, β = 90.00° and γ = 120.00°. The inequivalent atoms are Pb at (0.0000, 0.5000, 0.0000), Br at (0.0000, 0.0000, 0.2528) and Br at (0.3333, 0.6667, 0.5000).

The value obtained for the final energy is -2.85 eV/atom.

=====

Entry from the Alexandria database: a geometry-optimized Pb6Br structure (PBE).

It has space group Im-3m (No. 229), with a = 8.529 Å, b = 8.529 Å, c = 8.529 Å, α = 90.00°, β = 90.00° and γ = 90.00°. The inequivalent atoms are Pb at (0.000, 0.250, 0.500) and Br at (0.000, 0.000, 0.000).

The value obtained for the final energy is -3.16 eV/atom.

=====

Entry from the Alexandria database: a geometry-optimized PbBr3 structure (PBE).

It has space group R-3m (No. 166, hexagonal axes), with a = 8.9752 Å, b = 8.9752 Å, c = 5.6679 Å, α = 90.00°, β = 90.00° and γ = 120.00°. The inequivalent atoms are Pb at (0.0000, 0.0000, 0.0000) and Br at (0.0000, 0.5000, 0.0000).

The value obtained for the final energy is -2.48 eV/atom.

=====

Entry from the Alexandria database: a geometry-optimized PbBr3 structure (PBE).

It has space group P6_3/mmc (No. 194), with a = 6.6579 Å, b = 6.6579 Å, c = 12.1204 Å, α = 90.00°, β = 90.00° and γ = 120.00°. The inequivalent atoms are Pb at (0.0000, 0.0000, 0.0000), Pb at (0.3333, 0.6667, 0.2500), Br at (0.0000, 0.5000, 0.0000) and Br at (0.1619, 0.3238, 0.7500).

The value obtained for the final energy is -2.46 eV/atom.

=====

Entry from the Alexandria database: a geometry-optimized Pb2Br3 structure (PBE).

It has space group P-3m1 (No. 164), with a = 4.8385 Å, b = 4.8385 Å, c = 8.9223 Å, α = 90.00°, β = 90.00° and γ = 120.00°. The inequivalent atoms are Pb at (0.3333, 0.6667, 0.3074), Br at (0.0000, 0.0000, 0.5000) and Br at (0.3333, 0.6667, 0.8363).

The value obtained for the final energy is -3.12 eV/atom.

=====

Entry from the Alexandria database: a geometry-optimized Pb3Br5 structure (PBE).

It has space group P6_3/mcm (No. 193), with a = 8.9635 Å, b = 8.9635 Å, c = 7.3750 Å, α = 90.00°, β = 90.00° and γ = 120.00°. The inequivalent atoms are Pb at (0.0000, 0.3948, 0.2500), Br at (0.0000, 0.2570, 0.7500) and Br at (0.3333, 0.6667, 0.0000).

The value obtained for the final energy is -3.12 eV/atom.

=====

Entry from the Alexandria database: a geometry-optimized PbBr4 structure (PBE).

It has space group Im-3m (No. 229), with a = 7.179 Å, b = 7.179 Å, c = 7.179 Å, α = 90.00°, β = 90.00° and γ = 90.00°. The inequivalent atoms are Pb at (0.000, 0.000, 0.000) and Br at (0.250, 0.250, 0.250).

The value obtained for the final energy is -2.27 eV/atom.

=====

Entry from the Alexandria database: a geometry-optimized PbBr3 structure (PBE).

It has space group Imm2 (No. 44), with a = 3.740 Å, b = 11.805 Å, c = 7.276 Å, α = 90.00°, β = 90.00° and γ = 90.00°. The inequivalent atoms are Pb at (0.000, 0.000, 0.000), Br at (0.000, 0.335, 0.346) and Br at (0.000, 0.500, 0.809).

The value obtained for the final energy is -2.70 eV/atom.

=====

Entry from the Alexandria database: a geometry-optimized PbBr3 structure (PBE).

It has space group P4mm (No. 99), with a = 4.429 Å, b = 4.429 Å, c = 7.195 Å, α = 90.00°, β = 90.00° and γ = 90.00°. The inequivalent atoms are Pb at (0.000, 0.000, 0.000), Br at (0.000, 0.500, 0.699) and Br at (0.500, 0.500, 0.157).

The value obtained for the final energy is -2.65 eV/atom.

=====

Entry from the Alexandria database: a geometry-optimized Pb5Br4 structure (PBE).

It has space group I4/mmm (No. 139), with a = 12.401 Å, b = 12.401 Å, c = 3.763 Å, α = 90.00°, β = 90.00° and γ = 90.00°. The inequivalent atoms are Pb at (0.000, 0.000, 0.000), Pb at (0.165, 0.165, 0.500) and Br at (0.000, 0.299, 0.000).

The value obtained for the final energy is -3.19 eV/atom.

=====

Entry from the Alexandria database: a geometry-optimized PbBr4 structure (PBE).

It has space group Pm-3m (No. 221), with a = 5.762 Å, b = 5.762 Å, c = 5.762 Å, α = 90.00°, β = 90.00° and γ = 90.00°. The inequivalent atoms are Pb at (0.000, 0.000, 0.000), Br at (0.000, 0.000, 0.500) and Br at (0.500, 0.500, 0.500).

The value obtained for the final energy is -2.23 eV/atom.

=====

Entry from the Alexandria database: a geometry-optimized PbBr3 structure (PBE).

It has space group R-3m (No. 166, hexagonal axes), with a = 4.3710 Å, b = 4.3710 Å, c = 28.2921 Å, α = 90.00°, β = 90.00° and γ = 120.00°. The inequivalent atoms are Pb at (0.0000, 0.0000, 0.0000), Br at (0.0000, 0.0000, 0.2725) and Br at (0.0000, 0.0000, 0.5000).

The value obtained for the final energy is -2.58 eV/atom.

=====

Entry from the Alexandria database: a geometry-optimized PbBr3 structure (PBE).

It has space group P-6m2 (No. 187), with a = 4.1891 Å, b = 4.1891 Å, c = 10.2012 Å, α = 90.00°, β = 90.00° and γ = 120.00°. The inequivalent atoms are Pb at (0.0000, 0.0000, 0.0000), Br at (0.0000, 0.0000, 0.5000) and Br at (0.6667, 0.3333, 0.1848).

The value obtained for the final energy is -2.52 eV/atom.